[1]
DFT (PBE-GGA) results for ThZnCoNi after structural relaxation.

Cell lengths 4.212, 4.213, 5.104 Å; angles 114.40, 90.00, 119.99 degrees
Atoms (fractional coordinates):
Th: 0.616 0.233 0.492
Ni: 0.412 0.825 0.880
Zn: 0.120 0.239 0.001
Co: 0.818 0.636 0.095

Space-group type   R3m, No. 160
Energy relative to the elements   -335 meV/atom
Crystal system   trigonal
DOS at the Fermi energy   2.5 states/eV/f.u.
Density   10.00 g cm⁻³

---

[2]
DFT (PBE-GGA) results for SrDy2Pd after structural relaxation.

Cell lengths 3.596, 3.596, 9.617 Å; angles 90.00, 90.00, 90.00 degrees
Atoms (fractional coordinates):
Dy: 0.000 0.000 0.171
Sr: 0.500 0.500 0.500
Dy: 0.000 0.000 0.829
Pd: 0.500 0.500 0.000

Space-group type   P4/mmm, No. 123
Energy relative to the elements   -314 meV/atom
Crystal system   tetragonal
DOS at the Fermi energy   5.6 states/eV/f.u.
Density   6.93 g cm⁻³

---

| no. | V (Å³ per cell) | offset from the most stable computed form (kJ/mol of formula units) |
| --- | --- | --- |
| 1 | 69 | 0 |
| 2 | 124 | 0 |